# 1
An optimized crystal structure of Ba3SrCa, computed with PBE.

Cell: 7.004 7.004 7.004 Å, 90.00 90.00 90.00°
Sites, in units of the cell vectors:
Ba (0.000, 0.000, 0.500)
Ba (0.000, 0.500, 0.000)
Ba (0.500, 0.000, 0.000)
Sr (0.500, 0.500, 0.500)
Ca (0.000, 0.000, 0.000)

DOS(E_F)   1.55 states/eV per atom
Theoretical density   2.61 g/cm³
E   -7.393 eV/cell

=====

# 2
An optimized crystal structure of NaBeI2O, computed with PBE.

Cell: 6.456 6.456 3.018 Å, 90.00 90.00 90.00°
Sites, in units of the cell vectors:
Na (0.000, 0.000, 0.000)
Be (0.500, 0.500, 0.500)
I (0.000, 0.500, 0.500)
I (0.500, 0.000, 0.500)
O (0.500, 0.500, 0.000)

Formation energy from raw total energies   -1022 meV/atom
DOS(E_F)   0.24 states/eV per atom
Theoretical density   3.98 g/cm³
E   -18.213 eV/cell

=====

# 3
An optimized crystal structure of Cs3PrTm2S6, computed with PBE.

Cell: 7.155 7.155 8.417 Å, 98.15 98.15 120.00°
Sites, in units of the cell vectors:
Cs (0.000, 0.000, 0.000)
Cs (0.335, 0.665, 0.000)
Cs (0.665, 0.335, 0.000)
Pr (0.500, 0.500, 0.500)
Tm (0.167, 0.833, 0.500)
Tm (0.833, 0.167, 0.500)
S (0.092, 0.439, 0.318)
S (0.214, 0.214, 0.681)
S (0.439, 0.092, 0.318)
S (0.561, 0.908, 0.682)
S (0.786, 0.786, 0.319)
S (0.908, 0.561, 0.682)

Formation energy from raw total energies   -1813 meV/atom
DOS(E_F)   0.00 states/eV per atom
Theoretical density   4.96 g/cm³
E   -62.800 eV/cell

=====

# 4
An optimized crystal structure of Er3TlCo, computed with PBE.

Cell: 6.481 6.481 8.925 Å, 111.17 111.17 48.32°
Sites, in units of the cell vectors:
Er (0.105, 0.105, 0.214)
Er (0.156, 0.156, 0.666)
Er (0.382, 0.382, 0.089)
Er (0.618, 0.618, 0.911)
Er (0.844, 0.844, 0.334)
Er (0.895, 0.895, 0.786)
Tl (0.387, 0.387, 0.551)
Tl (0.613, 0.613, 0.449)
Co (0.140, 0.140, 0.944)
Co (0.860, 0.860, 0.056)

DOS(E_F)   0.78 states/eV per atom
Theoretical density   9.88 g/cm³
E   -48.509 eV/cell

=====

For the records above, the corresponding volume values read 343.5 125.8 357.9 257.1 Å³/cell.